No. 1
DFT (PBE) results for an optimized crystal structure of ErGe4Os2.

SG ... No. 62
Uncorrected energy ... -6.79 eV/atom
M_tot ... 0.00 μB per atom
E_form ... -6.8 kcal/mol of atoms

Cell lengths 17.0062, 4.1839, 6.8002 Å; angles 90.00, 90.00, 90.00 degrees
Fractional coordinates of all 28 atoms:
Er: 0.1440 0.2500 0.0377
Er: 0.3560 0.7500 0.5377
Er: 0.6440 0.2500 0.4623
Er: 0.8560 0.7500 0.9623
Ge: 0.0308 0.7500 0.1351
Ge: 0.0609 0.2500 0.5153
Ge: 0.1898 0.7500 0.3113
Ge: 0.1899 0.7500 0.7461
Ge: 0.3101 0.2500 0.2461
Ge: 0.3102 0.2500 0.8113
Ge: 0.4391 0.7500 0.0153
Ge: 0.4692 0.2500 0.6351
Ge: 0.5308 0.7500 0.3649
Ge: 0.5609 0.2500 0.9847
Ge: 0.6898 0.7500 0.1887
Ge: 0.6899 0.7500 0.7539
Ge: 0.8101 0.2500 0.2539
Ge: 0.8102 0.2500 0.6887
Ge: 0.9391 0.7500 0.4847
Ge: 0.9692 0.2500 0.8649
Os: 0.0398 0.7500 0.7590
Os: 0.2085 0.2500 0.5252
Os: 0.2915 0.7500 0.0252
Os: 0.4602 0.2500 0.2590
Os: 0.5398 0.7500 0.7410
Os: 0.7085 0.2500 0.9748
Os: 0.7915 0.7500 0.4748
Os: 0.9602 0.2500 0.2410

No. 2
DFT (PBE) results for an optimized crystal structure of La3Zn2GePd9.

SG ... No. 164
Uncorrected energy ... -5.18 eV/atom
M_tot ... 0.00 μB per atom
E_form ... -13.9 kcal/mol of atoms

Cell lengths 5.7671, 5.7671, 11.2220 Å; angles 90.00, 90.00, 120.00 degrees
Fractional coordinates of all 15 atoms:
La: 0.0000 0.0000 0.0000
La: 0.3333 0.6667 0.7260
La: 0.6667 0.3333 0.2740
Zn: 0.3333 0.6667 0.1701
Zn: 0.6667 0.3333 0.8299
Ge: 0.0000 0.0000 0.5000
Pd: 0.0000 0.5000 0.0000
Pd: 0.1707 0.3414 0.3453
Pd: 0.1707 0.8293 0.3453
Pd: 0.3414 0.1707 0.6547
Pd: 0.5000 0.0000 0.0000
Pd: 0.5000 0.5000 0.0000
Pd: 0.6586 0.8293 0.3453
Pd: 0.8293 0.1707 0.6547
Pd: 0.8293 0.6586 0.6547

No. 3
DFT (PBE) results for an optimized crystal structure of LaPm3Os.

SG ... No. 12
Uncorrected energy ... -6.19 eV/atom
M_tot ... 0.00 μB per atom
Relative energy among the computed polymorphs ... 0.000 eV per atom
E_form ... -2.4 kcal/mol of atoms

Cell lengths 7.4968, 7.4968, 8.4344 Å; angles 123.75, 123.75, 71.99 degrees
Fractional coordinates of all 10 atoms:
La: 0.0497 0.0497 0.3401
La: 0.9503 0.9503 0.6599
Pm: 0.0539 0.4519 0.2060
Pm: 0.4471 0.4471 0.7476
Pm: 0.4519 0.0539 0.2060
Pm: 0.5481 0.9461 0.7940
Pm: 0.5529 0.5529 0.2524
Pm: 0.9461 0.5481 0.7940
Os: 0.2472 0.2472 0.8843
Os: 0.7528 0.7528 0.1157